{
  "formula": "AgAs2Pd",
  "functional": "PBE-GGA",
  "state": "optimized geometry",
  "lattice_angstrom": [[-1.4878, -4.0903, 1.5825], [-1.9364, -0.2939, 4.1967], [-4.5412, -0.8141, 0.4030]],
  "species": ["Pd", "As", "As", "Ag"],
  "fractional_positions": [[0.0000, 0.0000, 0.0000], [0.7500, 0.7500, 0.7500], [0.2500, 0.2500, 0.2500], [0.5000, 0.5000, 0.5000]],
  "e_tot_ev_per_fu": -17.29,
  "volume_a3_per_atom": 17.6
}

---

{
  "formula": "PmAgAs2Pd5",
  "functional": "PBE-GGA",
  "state": "optimized geometry",
  "lattice_angstrom": [[-1.8234, 1.8416, 3.3899], [-3.8562, -0.9806, -1.5415], [0.2420, -7.9208, 4.4331]],
  "species": ["Pd", "Pd", "Pd", "Pd", "As", "Pd", "Pm", "Ag", "As"],
  "fractional_positions": [[0.5000, 0.0000, 0.7328], [0.0000, 0.5000, 0.7328], [0.0000, 0.5000, 0.2672], [0.5000, 0.5000, 0.5000], [0.5000, 0.5000, 0.1328], [0.5000, 0.0000, 0.2672], [0.0000, 0.0000, 0.5000], [0.0000, 0.0000, 0.0000], [0.5000, 0.5000, 0.8672]],
  "e_tot_ev_per_fu": -47.02,
  "volume_a3_per_atom": 18.4
}

---

| no. | energy relative to the elements (eV/atom) | calculated density (g/cm³) |
| --- | --- | --- |
| 1 | 0.013 | 8.61 |
| 2 | -0.462 | 9.39 |